No. 1
# CrIn2GePd (PBE, relaxed)
data_CrIn2GePd
_chemical_formula_sum 'Cr1 In2 Ge1 Pd1'
_cell_length_a 5.204
_cell_length_b 5.204
_cell_length_c 4.643
_cell_angle_alpha 90.00
_cell_angle_beta 90.00
_cell_angle_gamma 90.00
_symmetry_space_group_name_H-M 'P 4/m m m'
_symmetry_Int_Tables_number 123
_symmetry_space_group_name_Hall '-P 4 2'
loop_
_atom_site_label
_atom_site_fract_x
_atom_site_fract_y
_atom_site_fract_z
Cr1 0.000 0.000 0.000
In1 0.000 0.500 0.500
Ge1 0.500 0.500 0.500
Pd1 0.500 0.500 0.000
# D(E_F) (states/eV/f.u.): 5.73
# Crystal system: tetragonal


No. 2
# CrIn2GeRh (PBE, relaxed)
data_CrIn2GeRh
_chemical_formula_sum 'Cr1 In2 Ge1 Rh1'
_cell_length_a 5.128
_cell_length_b 5.128
_cell_length_c 4.532
_cell_angle_alpha 90.00
_cell_angle_beta 90.00
_cell_angle_gamma 90.00
_symmetry_space_group_name_H-M 'P 4/m m m'
_symmetry_Int_Tables_number 123
_symmetry_space_group_name_Hall '-P 4 2'
loop_
_atom_site_label
_atom_site_fract_x
_atom_site_fract_y
_atom_site_fract_z
Cr1 0.000 0.000 0.000
In1 0.000 0.500 0.500
Ge1 0.500 0.500 0.500
Rh1 0.500 0.500 0.000
# D(E_F) (states/eV/f.u.): 7.82
# Crystal system: tetragonal


No. 3
# CrInSn2Ge (PBE, relaxed)
data_CrInSn2Ge
_chemical_formula_sum 'Cr1 In1 Sn2 Ge1'
_cell_length_a 5.423
_cell_length_b 5.423
_cell_length_c 4.817
_cell_angle_alpha 90.00
_cell_angle_beta 90.00
_cell_angle_gamma 90.00
_symmetry_space_group_name_H-M 'P 4/m m m'
_symmetry_Int_Tables_number 123
_symmetry_space_group_name_Hall '-P 4 2'
loop_
_atom_site_label
_atom_site_fract_x
_atom_site_fract_y
_atom_site_fract_z
Cr1 0.000 0.000 0.000
In1 0.500 0.500 0.000
Sn1 0.000 0.500 0.500
Ge1 0.000 0.000 0.500
# D(E_F) (states/eV/f.u.): 3.50
# Crystal system: tetragonal


No. 4
# CrGe2Ir2 (PBE, relaxed)
data_CrGe2Ir2
_chemical_formula_sum 'Cr2 Ge4 Ir4'
_cell_length_a 7.309
_cell_length_b 7.309
_cell_length_c 2.881
_cell_angle_alpha 90.00
_cell_angle_beta 90.00
_cell_angle_gamma 90.00
_symmetry_space_group_name_H-M 'P 4/m b m'
_symmetry_Int_Tables_number 127
_symmetry_space_group_name_Hall '-P 4 2ab'
loop_
_atom_site_label
_atom_site_fract_x
_atom_site_fract_y
_atom_site_fract_z
Cr1 0.000 0.000 0.000
Ge1 0.153 0.347 0.000
Ir1 0.145 0.645 0.500
# D(E_F) (states/eV/f.u.): 2.52
# Crystal system: tetragonal


No. 5
# CrGe2Ir (PBE, relaxed)
data_CrGe2Ir
_chemical_formula_sum 'Cr4 Ge8 Ir4'
_cell_length_a 6.079
_cell_length_b 6.079
_cell_length_c 6.079
_cell_angle_alpha 90.00
_cell_angle_beta 90.00
_cell_angle_gamma 90.00
_symmetry_space_group_name_H-M 'F m -3 m'
_symmetry_Int_Tables_number 225
_symmetry_space_group_name_Hall '-F 4 2 3'
loop_
_atom_site_label
_atom_site_fract_x
_atom_site_fract_y
_atom_site_fract_z
Cr1 0.000 0.000 0.000
Ge1 0.250 0.250 0.250
Ir1 0.000 0.000 0.500
# D(E_F) (states/eV/f.u.): 4.36
# Energy above the lowest structure with this stoichiometry (kJ/mol of atoms): 0.00
# Crystal system: cubic


No. 6
# Cr3GeIr (PBE, relaxed)
data_Cr3GeIr
_chemical_formula_sum 'Cr3 Ge1 Ir1'
_cell_length_a 4.339
_cell_length_b 4.339
_cell_length_c 4.339
_cell_angle_alpha 90.00
_cell_angle_beta 90.00
_cell_angle_gamma 90.00
_symmetry_space_group_name_H-M 'P m -3 m'
_symmetry_Int_Tables_number 221
_symmetry_space_group_name_Hall '-P 4 2 3'
loop_
_atom_site_label
_atom_site_fract_x
_atom_site_fract_y
_atom_site_fract_z
Cr1 0.000 0.000 0.500
Ge1 0.000 0.000 0.000
Ir1 0.500 0.500 0.500
# D(E_F) (states/eV/f.u.): 5.83
# Energy above the lowest structure with this stoichiometry (kJ/mol of atoms): 20.30
# Crystal system: cubic


No. 7
# Cr3GeIr (PBE, relaxed)
data_Cr3GeIr
_chemical_formula_sum 'Cr3 Ge1 Ir1'
_cell_length_a 4.727
_cell_length_b 4.727
_cell_length_c 4.727
_cell_angle_alpha 90.00
_cell_angle_beta 90.00
_cell_angle_gamma 90.00
_symmetry_space_group_name_H-M 'P m -3 m'
_symmetry_Int_Tables_number 221
_symmetry_space_group_name_Hall '-P 4 2 3'
loop_
_atom_site_label
_atom_site_fract_x
_atom_site_fract_y
_atom_site_fract_z
Cr1 0.000 0.000 0.500
Ge1 0.500 0.500 0.500
Ir1 0.000 0.000 0.000
# D(E_F) (states/eV/f.u.): 5.38
# Energy above the lowest structure with this stoichiometry (kJ/mol of atoms): 0.00
# Crystal system: cubic


No. 8
# Cr2GeIr2 (PBE, relaxed)
data_Cr2GeIr2
_chemical_formula_sum 'Cr4 Ge2 Ir4'
_cell_length_a 7.315
_cell_length_b 7.315
_cell_length_c 2.742
_cell_angle_alpha 90.00
_cell_angle_beta 90.00
_cell_angle_gamma 90.00
_symmetry_space_group_name_H-M 'P 4/m b m'
_symmetry_Int_Tables_number 127
_symmetry_space_group_name_Hall '-P 4 2ab'
loop_
_atom_site_label
_atom_site_fract_x
_atom_site_fract_y
_atom_site_fract_z
Cr1 0.164 0.336 0.000
Ge1 0.000 0.000 0.500
Ir1 0.132 0.632 0.500
# D(E_F) (states/eV/f.u.): 4.57
# Crystal system: tetragonal


No. 9
# Cr5GeIr6 (PBE, relaxed)
data_Cr5GeIr6
_chemical_formula_sum 'Cr10 Ge2 Ir12'
_cell_length_a 3.843
_cell_length_b 7.353
_cell_length_c 11.588
_cell_angle_alpha 90.00
_cell_angle_beta 90.00
_cell_angle_gamma 90.00
_symmetry_space_group_name_H-M 'I m m m'
_symmetry_Int_Tables_number 71
_symmetry_space_group_name_Hall '-I 2 2'
loop_
_atom_site_label
_atom_site_fract_x
_atom_site_fract_y
_atom_site_fract_z
Cr1 0.000 0.000 0.000
Cr2 0.000 0.000 0.319
Cr3 0.000 0.500 0.336
Ge1 0.000 0.500 0.000
Ir1 0.000 0.249 0.169
Ir2 0.000 0.250 0.500
# D(E_F) (states/eV/f.u.): 12.63
# Crystal system: orthorhombic


No. 10
# Cr2GeIr (PBE, relaxed)
data_Cr2GeIr
_chemical_formula_sum 'Cr8 Ge4 Ir4'
_cell_length_a 6.797
_cell_length_b 6.797
_cell_length_c 5.109
_cell_angle_alpha 90.00
_cell_angle_beta 90.00
_cell_angle_gamma 90.00
_symmetry_space_group_name_H-M 'I -4 2 d'
_symmetry_Int_Tables_number 122
_symmetry_space_group_name_Hall 'I -4 2bw'
loop_
_atom_site_label
_atom_site_fract_x
_atom_site_fract_y
_atom_site_fract_z
Cr1 0.243 0.250 0.125
Ge1 0.000 0.000 0.500
Ir1 0.000 0.000 0.000
# D(E_F) (states/eV/f.u.): 6.38
# Crystal system: tetragonal


No. 11
# Cr2Ge2Ir (PBE, relaxed)
data_Cr2Ge2Ir
_chemical_formula_sum 'Cr4 Ge4 Ir2'
_cell_length_a 6.922
_cell_length_b 6.922
_cell_length_c 2.916
_cell_angle_alpha 90.00
_cell_angle_beta 90.00
_cell_angle_gamma 90.00
_symmetry_space_group_name_H-M 'P 4/m b m'
_symmetry_Int_Tables_number 127
_symmetry_space_group_name_Hall '-P 4 2ab'
loop_
_atom_site_label
_atom_site_fract_x
_atom_site_fract_y
_atom_site_fract_z
Cr1 0.121 0.379 0.000
Ge1 0.172 0.672 0.500
Ir1 0.000 0.000 0.500
# D(E_F) (states/eV/f.u.): 4.25
# Crystal system: tetragonal


No. 12
# CrGe2Ir (PBE, relaxed)
data_CrGe2Ir
_chemical_formula_sum 'Cr4 Ge8 Ir4'
_cell_length_a 6.940
_cell_length_b 6.940
_cell_length_c 5.585
_cell_angle_alpha 90.00
_cell_angle_beta 90.00
_cell_angle_gamma 90.00
_symmetry_space_group_name_H-M 'I -4 2 d'
_symmetry_Int_Tables_number 122
_symmetry_space_group_name_Hall 'I -4 2bw'
loop_
_atom_site_label
_atom_site_fract_x
_atom_site_fract_y
_atom_site_fract_z
Cr1 0.000 0.000 0.000
Ge1 0.233 0.250 0.625
Ir1 0.000 0.000 0.500
# D(E_F) (states/eV/f.u.): 2.17
# Energy above the lowest structure with this stoichiometry (kJ/mol of atoms): 22.99
# Crystal system: tetragonal


No. 13
# CrGe2Ir (PBE, relaxed)
data_CrGe2Ir
_chemical_formula_sum 'Cr3 Ge6 Ir3'
_cell_length_a 2.9447
_cell_length_b 2.9447
_cell_length_c 26.5960
_cell_angle_alpha 90.00
_cell_angle_beta 90.00
_cell_angle_gamma 120.00
_symmetry_space_group_name_H-M 'R -3 m'
_symmetry_Int_Tables_number 166
_symmetry_space_group_name_Hall '-R 3 2"'
loop_
_atom_site_label
_atom_site_fract_x
_atom_site_fract_y
_atom_site_fract_z
Cr1 0.0000 0.0000 0.0000
Ge1 0.0000 0.0000 0.0925
Ir1 0.0000 0.0000 0.5000
# D(E_F) (states/eV/f.u.): 3.17
# Energy above the lowest structure with this stoichiometry (kJ/mol of atoms): 26.39
# Crystal system: trigonal


Number 1: energy -19.19 eV for the cell shown. Number 2: energy -20.97 eV for the cell shown. Number 3: energy -22.14 eV for the cell shown. Number 4: energy -72.82 eV for the cell shown. Number 5: energy -110.24 eV for the cell shown. Number 6: energy -35.54 eV for the cell shown. Number 7: energy -36.59 eV for the cell shown. Number 8: energy -82.42 eV for the cell shown. Number 9: energy -216.47 eV for the cell shown. Number 10: energy -122.64 eV for the cell shown. Number 11: energy -72.93 eV for the cell shown. Number 12: energy -106.43 eV for the cell shown. Number 13: energy -79.40 eV for the cell shown.